No. 1
# CdTeI2Cl (PBE, relaxed)
data_CdTeI2Cl
_chemical_formula_sum 'Cd1 Te1 I2 Cl1'
_space_group_name_H-M_alt 'P 4/m m m'
_space_group_IT_number 123
_space_group_name_Hall '-P 4 2'
_cell_length_a 5.6639
_cell_length_b 5.6639
_cell_length_c 5.6742
_cell_angle_alpha 90.00
_cell_angle_beta 90.00
_cell_angle_gamma 90.00
loop_
_atom_site_label
_atom_site_fract_x
_atom_site_fract_y
_atom_site_fract_z
_atom_site_occupancy
Cd1 0.0000 0.0000 0.0000 1
Te1 0.5000 0.5000 0.0000 1
I1 0.0000 0.5000 0.5000 1
Cl1 0.5000 0.5000 0.5000 1
# - E_form (uncorrected) (eV/atom) = 0.458
# - energy above the most stable polymorph in this dataset (eV/atom) = 0.208
# - size of the total moment (μB/f.u.) = 0.3
# - crystal system = tetragonal

No. 2
# CdTeI2Cl (PBE, relaxed)
data_CdTeI2Cl
_chemical_formula_sum 'Cd1 Te1 I2 Cl1'
_space_group_name_H-M_alt 'P 4/m m m'
_space_group_IT_number 123
_space_group_name_Hall '-P 4 2'
_cell_length_a 5.7957
_cell_length_b 5.7957
_cell_length_c 5.9955
_cell_angle_alpha 90.00
_cell_angle_beta 90.00
_cell_angle_gamma 90.00
loop_
_atom_site_label
_atom_site_fract_x
_atom_site_fract_y
_atom_site_fract_z
_atom_site_occupancy
Cd1 0.0000 0.0000 0.0000 1
Te1 0.0000 0.0000 0.5000 1
I1 0.0000 0.5000 0.0000 1
Cl1 0.5000 0.5000 0.5000 1
# - E_form (uncorrected) (eV/atom) = 0.250
# - energy above the most stable polymorph in this dataset (eV/atom) = 0.000
# - size of the total moment (μB/f.u.) = 2.9
# - crystal system = tetragonal

No. 3
# Tl2CdI2Cl2 (PBE, relaxed)
data_Tl2CdI2Cl2
_chemical_formula_sum 'Tl4 Cd2 I4 Cl4'
_space_group_name_H-M_alt 'I 4/m m m'
_space_group_IT_number 139
_space_group_name_Hall '-I 4 2'
_cell_length_a 5.2736
_cell_length_b 5.2736
_cell_length_c 17.7618
_cell_angle_alpha 90.00
_cell_angle_beta 90.00
_cell_angle_gamma 90.00
loop_
_atom_site_label
_atom_site_fract_x
_atom_site_fract_y
_atom_site_fract_z
_atom_site_occupancy
Tl1 0.0000 0.0000 0.1327 1
Cd1 0.0000 0.0000 0.5000 1
I1 0.0000 0.0000 0.3325 1
Cl1 0.0000 0.5000 0.0000 1
# - E_form (uncorrected) (eV/atom) = -0.828
# - size of the total moment (μB/f.u.) = 0.0
# - crystal system = tetragonal

No. 4
# TlCdICl2 (PBE, relaxed)
data_TlCdICl2
_chemical_formula_sum 'Tl1 Cd1 I1 Cl2'
_space_group_name_H-M_alt 'P 4/m m m'
_space_group_IT_number 123
_space_group_name_Hall '-P 4 2'
_cell_length_a 5.2291
_cell_length_b 5.2291
_cell_length_c 6.0246
_cell_angle_alpha 90.00
_cell_angle_beta 90.00
_cell_angle_gamma 90.00
loop_
_atom_site_label
_atom_site_fract_x
_atom_site_fract_y
_atom_site_fract_z
_atom_site_occupancy
Tl1 0.0000 0.0000 0.0000 1
Cd1 0.5000 0.5000 0.5000 1
I1 0.5000 0.5000 0.0000 1
Cl1 0.0000 0.5000 0.5000 1
# - E_form (uncorrected) (eV/atom) = -0.843
# - energy above the most stable polymorph in this dataset (eV/atom) = 0.028
# - size of the total moment (μB/f.u.) = 0.0
# - crystal system = tetragonal

No. 5
# TlCdICl2 (PBE, relaxed)
data_TlCdICl2
_chemical_formula_sum 'Tl4 Cd4 I4 Cl8'
_space_group_name_H-M_alt 'C m c m'
_space_group_IT_number 63
_space_group_name_Hall '-C 2c 2'
_cell_length_a 4.5860
_cell_length_b 16.4616
_cell_length_c 8.9894
_cell_angle_alpha 90.00
_cell_angle_beta 90.00
_cell_angle_gamma 90.00
loop_
_atom_site_label
_atom_site_fract_x
_atom_site_fract_y
_atom_site_fract_z
_atom_site_occupancy
Tl1 0.0000 0.2092 0.2500 1
Cd1 0.0000 0.5000 0.0000 1
I1 0.0000 0.0104 0.7500 1
Cl1 0.0000 0.3503 0.5176 1
# - E_form (uncorrected) (eV/atom) = -0.871
# - energy above the most stable polymorph in this dataset (eV/atom) = 0.000
# - size of the total moment (μB/f.u.) = 0.0
# - crystal system = orthorhombic

No. 6
# TlCdI2Cl (PBE, relaxed)
data_TlCdI2Cl
_chemical_formula_sum 'Tl1 Cd1 I2 Cl1'
_space_group_name_H-M_alt 'P 4/m m m'
_space_group_IT_number 123
_space_group_name_Hall '-P 4 2'
_cell_length_a 5.9863
_cell_length_b 5.9863
_cell_length_c 5.1669
_cell_angle_alpha 90.00
_cell_angle_beta 90.00
_cell_angle_gamma 90.00
loop_
_atom_site_label
_atom_site_fract_x
_atom_site_fract_y
_atom_site_fract_z
_atom_site_occupancy
Tl1 0.0000 0.0000 0.0000 1
Cd1 0.5000 0.5000 0.5000 1
I1 0.0000 0.5000 0.5000 1
Cl1 0.5000 0.5000 0.0000 1
# - E_form (uncorrected) (eV/atom) = -0.669
# - size of the total moment (μB/f.u.) = 0.0
# - crystal system = tetragonal

No. 7
# Cd2InCl2 (PBE, relaxed)
data_Cd2InCl2
_chemical_formula_sum 'Cd4 In2 Cl4'
_space_group_name_H-M_alt 'I 4/m m m'
_space_group_IT_number 139
_space_group_name_Hall '-I 4 2'
_cell_length_a 4.7908
_cell_length_b 4.7908
_cell_length_c 11.8233
_cell_angle_alpha 90.00
_cell_angle_beta 90.00
_cell_angle_gamma 90.00
loop_
_atom_site_label
_atom_site_fract_x
_atom_site_fract_y
_atom_site_fract_z
_atom_site_occupancy
Cd1 0.0000 0.0000 0.1167 1
In1 0.0000 0.0000 0.5000 1
Cl1 0.0000 0.5000 0.2500 1
# - E_form (uncorrected) (eV/atom) = -0.412
# - energy above the most stable polymorph in this dataset (eV/atom) = 0.000
# - size of the total moment (μB/f.u.) = 0.0
# - crystal system = tetragonal

No. 8
# CdInCl2 (PBE, relaxed)
data_CdInCl2
_chemical_formula_sum 'Cd2 In2 Cl4'
_space_group_name_H-M_alt 'C 1 m 1'
_space_group_IT_number 8
_cell_length_a 16.4834
_cell_length_b 3.6971
_cell_length_c 4.0557
_cell_angle_alpha 90.00
_cell_angle_beta 104.16
_cell_angle_gamma 90.00
loop_
_space_group_symop_operation_xyz
'x,y,z'
'x,-y,z'
'x+1/2,y+1/2,z'
'x+1/2,-y+1/2,z'
loop_
_atom_site_label
_atom_site_fract_x
_atom_site_fract_y
_atom_site_fract_z
_atom_site_occupancy
Cd1 0.0000 0.0000 0.0000 1
In1 0.1555 0.5000 0.1544 1
Cl1 0.2257 0.0000 0.7241 1
Cl2 0.4492 0.0000 0.4493 1
# - E_form (uncorrected) (eV/atom) = -0.617
# - energy above the most stable polymorph in this dataset (eV/atom) = 0.088
# - size of the total moment (μB/f.u.) = 0.0
# - crystal system = monoclinic

No. 9
# CdIn2Cl (PBE, relaxed)
data_CdIn2Cl
_chemical_formula_sum 'Cd4 In8 Cl4'
_space_group_name_H-M_alt 'F m -3 m'
_space_group_IT_number 225
_space_group_name_Hall '-F 4 2 3'
_cell_length_a 7.5688
_cell_length_b 7.5688
_cell_length_c 7.5688
_cell_angle_alpha 90.00
_cell_angle_beta 90.00
_cell_angle_gamma 90.00
loop_
_atom_site_label
_atom_site_fract_x
_atom_site_fract_y
_atom_site_fract_z
_atom_site_occupancy
Cd1 0.0000 0.0000 0.0000 1
In1 0.2500 0.2500 0.2500 1
Cl1 0.0000 0.0000 0.5000 1
# - E_form (uncorrected) (eV/atom) = -0.178
# - energy above the most stable polymorph in this dataset (eV/atom) = 0.140
# - size of the total moment (μB/f.u.) = 0.0
# - crystal system = cubic

No. 10
# CdIn2Cl (PBE, relaxed)
data_CdIn2Cl
_chemical_formula_sum 'Cd2 In4 Cl2'
_space_group_name_H-M_alt 'I m m 2'
_space_group_IT_number 44
_cell_length_a 3.5296
_cell_length_b 5.4096
_cell_length_c 11.0233
_cell_angle_alpha 90.00
_cell_angle_beta 90.00
_cell_angle_gamma 90.00
loop_
_space_group_symop_operation_xyz
'x,y,z'
'-x,-y,z'
'-x,y,z'
'x,-y,z'
'x+1/2,y+1/2,z+1/2'
'-x+1/2,-y+1/2,z+1/2'
'-x+1/2,y+1/2,z+1/2'
'x+1/2,-y+1/2,z+1/2'
loop_
_atom_site_label
_atom_site_fract_x
_atom_site_fract_y
_atom_site_fract_z
_atom_site_occupancy
Cd1 0.0000 0.0000 0.0000 1
In1 0.0000 0.0000 0.4966 1
In2 0.0000 0.5000 0.2564 1
Cl1 0.0000 0.5000 0.7419 1
# - E_form (uncorrected) (eV/atom) = -0.251
# - energy above the most stable polymorph in this dataset (eV/atom) = 0.068
# - size of the total moment (μB/f.u.) = 0.0
# - crystal system = orthorhombic

No. 11
# CdInCl2 (PBE, relaxed)
data_CdInCl2
_chemical_formula_sum 'Cd2 In2 Cl4'
_space_group_name_H-M_alt 'C 1 2/m 1'
_space_group_IT_number 12
_cell_length_a 8.0073
_cell_length_b 8.0777
_cell_length_c 3.6919
_cell_angle_alpha 90.00
_cell_angle_beta 109.50
_cell_angle_gamma 90.00
loop_
_space_group_symop_operation_xyz
'x,y,z'
'-x,-y,-z'
'-x,y,-z'
'x,-y,z'
'x+1/2,y+1/2,z'
'-x+1/2,-y+1/2,-z'
'-x+1/2,y+1/2,-z'
'x+1/2,-y+1/2,z'
loop_
_atom_site_label
_atom_site_fract_x
_atom_site_fract_y
_atom_site_fract_z
_atom_site_occupancy
Cd1 0.0000 0.0000 0.0000 1
In1 0.0000 0.5000 0.0000 1
Cl1 0.2500 0.2500 0.5000 1
# - E_form (uncorrected) (eV/atom) = -0.527
# - energy above the most stable polymorph in this dataset (eV/atom) = 0.179
# - size of the total moment (μB/f.u.) = 0.0
# - crystal system = monoclinic

No. 12
# Cd2In3Cl8 (PBE, relaxed)
data_Cd2In3Cl8
_chemical_formula_sum 'Cd6 In9 Cl24'
_space_group_name_H-M_alt 'R -3 m'
_space_group_IT_number 166
_space_group_name_Hall '-R 3 2"'
_cell_length_a 7.9349
_cell_length_b 7.9349
_cell_length_c 25.0655
_cell_angle_alpha 90.00
_cell_angle_beta 90.00
_cell_angle_gamma 120.00
loop_
_atom_site_label
_atom_site_fract_x
_atom_site_fract_y
_atom_site_fract_z
_atom_site_occupancy
Cd1 0.0000 0.0000 0.1287 1
In1 0.0000 0.0000 0.3385 1
In2 0.0000 0.0000 0.5000 1
Cl1 0.0000 0.0000 0.2263 1
Cl2 0.0149 0.5074 0.2382 1
# - E_form (uncorrected) (eV/atom) = -0.858
# - size of the total moment (μB/f.u.) = 0.0
# - crystal system = trigonal

No. 13
# Cd2InCl2 (PBE, relaxed)
data_Cd2InCl2
_chemical_formula_sum 'Cd4 In2 Cl4'
_space_group_name_H-M_alt 'P 4/m b m'
_space_group_IT_number 127
_space_group_name_Hall '-P 4 2ab'
_cell_length_a 8.0029
_cell_length_b 8.0029
_cell_length_c 4.5074
_cell_angle_alpha 90.00
_cell_angle_beta 90.00
_cell_angle_gamma 90.00
loop_
_atom_site_label
_atom_site_fract_x
_atom_site_fract_y
_atom_site_fract_z
_atom_site_occupancy
Cd1 0.1208 0.3792 0.0000 1
In1 0.0000 0.0000 0.0000 1
Cl1 0.2348 0.7348 0.5000 1
# - E_form (uncorrected) (eV/atom) = -0.390
# - energy above the most stable polymorph in this dataset (eV/atom) = 0.021
# - size of the total moment (μB/f.u.) = 0.0
# - crystal system = tetragonal

Calculated volume? In order: 36.41 40.28 35.28 32.95 33.93 37.03 27.14 29.96 27.10 26.31 28.14 35.05 28.87 A^3/atom.